KLi2InPd: optimized geometry, GGA-PBE.

abc: 5.1025 5.1025 5.1935
angles: 90.00 90.00 90.00
With the nearest neighbours (Å) after each atom.
Space group P4/mmm (No. 123)
Asymmetric unit:
K 0.0000 0.0000 0.0000 [1 per cell]  4 In 3.61, 8 Li 3.64
Li 0.0000 0.5000 0.5000 [2 per cell]  2 Pd 2.55
In 0.5000 0.5000 0.0000 [1 per cell]  2 Pd 2.60
Pd 0.5000 0.5000 0.5000 [1 per cell]  4 Li 2.55, 2 In 2.60

The value obtained for the size of the total moment is 0.000 μB per atom. The formation energy from the elements comes out at -195 meV/atom. The calculation puts the total energy at -2.766 eV per atom. The calculation puts the density of states at the Fermi level at 2.5 states/eV/f.u.